[1]
A geometry-optimized KInSn structure, computed with PBE.

Cell lengths 4.8819, 4.8819, 5.5788 Å; angles 90.00, 90.00, 120.00 degrees
Fractional coordinates of all 3 atoms:
K  0.3333  0.6667  0.8197
Sn  0.6667  0.3333  0.3461
In  0.0000  0.0000  0.2948

Properties
Symmetry: P3m1 (156)
Energy of formation (meV/atom): -176


[2]
A geometry-optimized K2InSn structure, computed with PBE.

Cell lengths 3.6439, 3.6439, 13.1162 Å; angles 82.02, 82.02, 60.00 degrees
Fractional coordinates of all 4 atoms:
K  0.0886  0.0886  0.7343
K  0.9114  0.9114  0.2657
Sn  0.0000  0.0000  0.0000
In  0.5000  0.5000  0.5000

Properties
Symmetry: R-3m (166)
Energy of formation (meV/atom): 197
E above lowest polymorph (eV/f.u.): 1.35


[3]
A geometry-optimized KInSn structure, computed with PBE.

Cell lengths 7.4227, 7.4227, 4.6472 Å; angles 90.00, 90.00, 65.29 degrees
Fractional coordinates of all 6 atoms:
K  0.2500  0.2500  0.0000
K  0.7500  0.7500  0.0000
Sn  0.7500  0.2500  0.9650
Sn  0.2500  0.7500  0.0350
In  0.0000  0.0000  0.5000
In  0.5000  0.5000  0.5000

Properties
Symmetry: Cmme (67)
Energy of formation (meV/atom): -48


[4]
A geometry-optimized KInSn structure, computed with PBE.

Cell lengths 5.0074, 15.9952, 9.2710 Å; angles 30.39, 74.33, 90.00 degrees
Fractional coordinates of all 9 atoms:
K  0.3841  0.0217  0.2318
K  0.3841  0.7465  0.2318
K  0.2019  0.2019  0.5963
Sn  0.9982  0.4982  0.0035
Sn  0.5747  0.3997  0.8506
Sn  0.5747  0.7497  0.8506
In  0.7291  0.7291  0.5417
In  0.8577  0.1739  0.2846
In  0.8577  0.5415  0.2846

Properties
Symmetry: Imm2 (44)
Energy of formation (meV/atom): -104